Entry 1:
VASP calculation (meta-GGA SCAN) on a crystal of CaAsSe2I relaxed with PBEsol.

Geometry as CIF:
```
data_CaAsSe2I
_cell_length_a 5.3648
_cell_length_b 5.3648
_cell_length_c 5.2530
_cell_angle_alpha 90.00
_cell_angle_beta 90.00
_cell_angle_gamma 90.00
_symmetry_space_group_name_H-M 'P 4/m m m'
_symmetry_Int_Tables_number 123
_symmetry_space_group_name_Hall '-P 4 2'
loop_
_atom_site_label
_atom_site_type_symbol
_atom_site_fract_x
_atom_site_fract_y
_atom_site_fract_z
Ca1 Ca 0.0000 0.0000 0.0000
As1 As 0.5000 0.5000 0.0000
Se1 Se 0.0000 0.5000 0.5000
I1 I 0.5000 0.5000 0.5000
```

## Properties
Crystal system: tetragonal
Formation energy from raw total energies (meV per atom): 117

Entry 2:
VASP calculation (meta-GGA SCAN) on a crystal of MgAlCu2 relaxed with PBEsol.

Geometry as CIF:
```
data_MgAlCu2
_cell_length_a 3.0540
_cell_length_b 4.2118
_cell_length_c 8.5892
_cell_angle_alpha 90.00
_cell_angle_beta 90.00
_cell_angle_gamma 90.00
_symmetry_space_group_name_H-M 'I m m 2'
_symmetry_Int_Tables_number 44
_symmetry_space_group_name_Hall 'I 2 -2'
loop_
_atom_site_label
_atom_site_type_symbol
_atom_site_fract_x
_atom_site_fract_y
_atom_site_fract_z
Mg1 Mg 0.0000 0.0000 0.0000
Al1 Al 0.0000 0.5000 0.7759
Cu1 Cu 0.0000 0.0000 0.5131
Cu2 Cu 0.0000 0.5000 0.2407
```

## Properties
Energy of formation from the pure elements (meV per atom): -181
Crystal system: orthorhombic

Entry 3:
VASP calculation (meta-GGA SCAN) on a crystal of RbCSeN2 relaxed with PBEsol.

Geometry as CIF:
```
data_RbCSeN2
_cell_length_a 4.1508
_cell_length_b 4.1508
_cell_length_c 4.2430
_cell_angle_alpha 90.00
_cell_angle_beta 90.00
_cell_angle_gamma 90.00
_symmetry_space_group_name_H-M 'P 4/m m m'
_symmetry_Int_Tables_number 123
_symmetry_space_group_name_Hall '-P 4 2'
loop_
_atom_site_label
_atom_site_type_symbol
_atom_site_fract_x
_atom_site_fract_y
_atom_site_fract_z
Rb1 Rb 0.0000 0.0000 0.0000
C1 C 0.5000 0.5000 0.5000
Se1 Se 0.5000 0.5000 0.0000
N1 N 0.0000 0.5000 0.5000
```

## Properties
Energy above the most stable polymorph in this dataset (meV/atom): 0
Crystal system: tetragonal
Formation energy from raw total energies (meV per atom): 2225

Entry 4:
VASP calculation (meta-GGA SCAN) on a crystal of ZnFeIr relaxed with PBEsol.

Geometry as CIF:
```
data_ZnFeIr
_cell_length_a 2.6712
_cell_length_b 2.6712
_cell_length_c 6.2841
_cell_angle_alpha 90.00
_cell_angle_beta 90.00
_cell_angle_gamma 120.00
_symmetry_space_group_name_H-M 'P 3 m 1'
_symmetry_Int_Tables_number 156
_symmetry_space_group_name_Hall 'P 3 -2"'
loop_
_atom_site_label
_atom_site_type_symbol
_atom_site_fract_x
_atom_site_fract_y
_atom_site_fract_z
Zn1 Zn 0.0000 0.0000 0.0000
Fe1 Fe 0.3333 0.6667 0.6730
Ir1 Ir 0.6667 0.3333 0.3508
```

## Properties
Energy of formation from the pure elements (meV per atom): -107
Energy above the most stable polymorph in this dataset (meV/atom): 58
Crystal system: trigonal

Entry 5:
VASP calculation (meta-GGA SCAN) on a crystal of La2AsPt relaxed with PBEsol.

Geometry as CIF:
```
data_La2AsPt
_cell_length_a 4.1988
_cell_length_b 4.1988
_cell_length_c 21.3867
_cell_angle_alpha 90.00
_cell_angle_beta 90.00
_cell_angle_gamma 120.00
_symmetry_space_group_name_H-M 'R -3 m'
_symmetry_Int_Tables_number 166
_symmetry_space_group_name_Hall '-R 3 2"'
loop_
_atom_site_label
_atom_site_type_symbol
_atom_site_fract_x
_atom_site_fract_y
_atom_site_fract_z
La1 La 0.0000 0.0000 0.2479
As1 As 0.0000 0.0000 0.0000
Pt1 Pt 0.0000 0.0000 0.5000
```

## Properties
Energy of formation from the pure elements (meV per atom): -1463
Crystal system: trigonal

Entry 6:
VASP calculation (meta-GGA SCAN) on a crystal of Cd4Cu5 relaxed with PBEsol.

Geometry as CIF:
```
data_Cd4Cu5
_cell_length_a 8.1780
_cell_length_b 8.1780
_cell_length_c 4.0560
_cell_angle_alpha 90.00
_cell_angle_beta 90.00
_cell_angle_gamma 90.00
_symmetry_space_group_name_H-M 'I 4/m m m'
_symmetry_Int_Tables_number 139
_symmetry_space_group_name_Hall '-I 4 2'
loop_
_atom_site_label
_atom_site_type_symbol
_atom_site_fract_x
_atom_site_fract_y
_atom_site_fract_z
Cd1 Cd 0.0000 0.3154 0.0000
Cu1 Cu 0.0000 0.0000 0.0000
Cu2 Cu 0.1549 0.1549 0.5000
```

## Properties
Energy of formation from the pure elements (meV per atom): 87
Crystal system: tetragonal

Entry 7:
VASP calculation (meta-GGA SCAN) on a crystal of Zn2Ag relaxed with PBEsol.

Geometry as CIF:
```
data_Zn2Ag
_cell_length_a 2.9295
_cell_length_b 2.9295
_cell_length_c 10.2671
_cell_angle_alpha 90.00
_cell_angle_beta 90.00
_cell_angle_gamma 90.00
_symmetry_space_group_name_H-M 'I 4/m m m'
_symmetry_Int_Tables_number 139
_symmetry_space_group_name_Hall '-I 4 2'
loop_
_atom_site_label
_atom_site_type_symbol
_atom_site_fract_x
_atom_site_fract_y
_atom_site_fract_z
Zn1 Zn 0.0000 0.0000 0.1724
Ag1 Ag 0.0000 0.0000 0.5000
```

## Properties
Energy of formation from the pure elements (meV per atom): -13
Crystal system: tetragonal

Entry 8:
VASP calculation (meta-GGA SCAN) on a crystal of K2SnRhCl relaxed with PBEsol.

Geometry as CIF:
```
data_K2SnRhCl
_cell_length_a 5.7079
_cell_length_b 5.7079
_cell_length_c 4.4643
_cell_angle_alpha 90.00
_cell_angle_beta 90.00
_cell_angle_gamma 90.00
_symmetry_space_group_name_H-M 'P 4/m m m'
_symmetry_Int_Tables_number 123
_symmetry_space_group_name_Hall '-P 4 2'
loop_
_atom_site_label
_atom_site_type_symbol
_atom_site_fract_x
_atom_site_fract_y
_atom_site_fract_z
K1 K 0.0000 0.5000 0.0000
Sn1 Sn 0.0000 0.0000 0.5000
Rh1 Rh 0.5000 0.5000 0.5000
Cl1 Cl 0.5000 0.5000 0.0000
```

## Properties
Crystal system: tetragonal
Formation energy from raw total energies (meV per atom): -67

Entry 9:
VASP calculation (meta-GGA SCAN) on a crystal of TmZr6P9O36 relaxed with PBEsol.

Geometry as CIF:
```
data_TmZr6P9O36
_cell_length_a 8.8909
_cell_length_b 8.8909
_cell_length_c 22.3045
_cell_angle_alpha 90.00
_cell_angle_beta 90.00
_cell_angle_gamma 120.00
_symmetry_space_group_name_H-M 'P -3 c 1'
_symmetry_Int_Tables_number 165
_symmetry_space_group_name_Hall '-P 3 2"c'
loop_
_atom_site_label
_atom_site_type_symbol
_atom_site_fract_x
_atom_site_fract_y
_atom_site_fract_z
Tm1 Tm 0.0000 0.0000 0.0000
Zr1 Zr 0.0000 0.0000 0.1473
Zr2 Zr 0.3333 0.6667 0.0336
Zr3 Zr 0.3333 0.6667 0.3121
P1 P 0.0000 0.2914 0.2500
P2 P 0.0556 0.3744 0.9224
O1 O 0.0279 0.2018 0.1946
O2 O 0.0289 0.1841 0.9254
O3 O 0.1246 0.4813 0.5806
O4 O 0.1541 0.4657 0.9793
O5 O 0.1579 0.4641 0.8660
O6 O 0.1601 0.4685 0.2586
```

## Properties
Crystal system: trigonal
Formation energy from raw total energies (meV per atom): -3073

Entry 10:
VASP calculation (meta-GGA SCAN) on a crystal of YTlCd2 relaxed with PBEsol.

Geometry as CIF:
```
data_YTlCd2
_cell_length_a 4.4648
_cell_length_b 4.4648
_cell_length_c 4.6766
_cell_angle_alpha 90.00
_cell_angle_beta 90.00
_cell_angle_gamma 90.00
_symmetry_space_group_name_H-M 'P 4/m m m'
_symmetry_Int_Tables_number 123
_symmetry_space_group_name_Hall '-P 4 2'
loop_
_atom_site_label
_atom_site_type_symbol
_atom_site_fract_x
_atom_site_fract_y
_atom_site_fract_z
Y1 Y 0.0000 0.0000 0.0000
Tl1 Tl 0.5000 0.5000 0.0000
Cd1 Cd 0.0000 0.5000 0.5000
```

## Properties
Energy of formation from the pure elements (meV per atom): -384
Energy above the most stable polymorph in this dataset (meV/atom): 0
Crystal system: tetragonal

Entry 11:
VASP calculation (meta-GGA SCAN) on a crystal of La2WAu relaxed with PBEsol.

Geometry as CIF:
```
data_La2WAu
_cell_length_a 7.3631
_cell_length_b 7.3544
_cell_length_c 3.5408
_cell_angle_alpha 90.00
_cell_angle_beta 93.65
_cell_angle_gamma 90.00
_symmetry_space_group_name_H-M 'C 1 2/m 1'
_symmetry_Int_Tables_number 12
_symmetry_space_group_name_Hall '-C 2y'
loop_
_atom_site_label
_atom_site_type_symbol
_atom_site_fract_x
_atom_site_fract_y
_atom_site_fract_z
La1 La 0.2500 0.2500 0.0000
W1 W 0.0000 0.0000 0.5000
Au1 Au 0.0000 0.5000 0.5000
```

## Properties
Energy of formation from the pure elements (meV per atom): 138
Energy above the most stable polymorph in this dataset (meV/atom): 0
Crystal system: monoclinic

Entry 12:
VASP calculation (meta-GGA SCAN) on a crystal of ZrTiAg2Te relaxed with PBEsol.

Geometry as CIF:
```
data_ZrTiAg2Te
_cell_length_a 5.1671
_cell_length_b 5.1671
_cell_length_c 4.6491
_cell_angle_alpha 90.00
_cell_angle_beta 90.00
_cell_angle_gamma 90.00
_symmetry_space_group_name_H-M 'P 4/m m m'
_symmetry_Int_Tables_number 123
_symmetry_space_group_name_Hall '-P 4 2'
loop_
_atom_site_label
_atom_site_type_symbol
_atom_site_fract_x
_atom_site_fract_y
_atom_site_fract_z
Zr1 Zr 0.0000 0.0000 0.0000
Ti1 Ti 0.0000 0.0000 0.5000
Ag1 Ag 0.0000 0.5000 0.0000
Te1 Te 0.5000 0.5000 0.5000
```

## Properties
Crystal system: tetragonal
Formation energy from raw total energies (meV per atom): 1153

| no. | density of states at the Fermi level (states/eV per cell) | spin magnetization (μB/f.u.) | E (eV/atom) |
| --- | --- | --- | --- |
| 1 | 2.9 | 0.00 | -21.23 |
| 2 | 1.7 | 0.00 | -10.96 |
| 3 | 2.6 | 4.08 | -11.68 |
| 4 | 2.4 | 2.86 | -34.36 |
| 5 | 7.8 | 0.00 | -45.61 |
| 6 | 5.0 | 0.00 | -21.87 |
| 7 | 1.2 | 0.00 | -19.48 |
| 8 | 4.8 | 0.39 | -18.93 |
| 9 | 0.0 | 0.00 | -13.73 |
| 10 | 2.2 | 0.00 | -40.64 |
| 11 | 8.3 | 1.38 | -56.13 |
| 12 | 5.3 | 0.00 | -28.19 |